First-principles (GGA-PBE) data for crystalline Pm8Mg2Ir at its relaxed geometry, as listed in the Alexandria database.

Computed properties:
- SG = C2/m (12)
- raw total energy (eV per atom) = -4.676

Cell and atoms, written as POSCAR:
```
Pm8Mg2Ir
1.0
8.948 -2.790 0.000
8.948 2.790 0.000
-2.502 0.000 6.733
Pm Mg Ir
8 2 1
Direct
0.014 0.014 0.282
0.196 0.196 0.759
0.352 0.352 0.569
0.401 0.401 0.093
0.599 0.599 0.907
0.648 0.648 0.431
0.804 0.804 0.241
0.986 0.986 0.718
0.183 0.183 0.193
0.817 0.817 0.807
0.500 0.500 0.500
```